Entry 1:
This record from Alexandria via LeMat-Bulk describes a relaxed structure of BaTlSn2. The functional is GGA-PBE.

## Properties
- E_form (meV/atom) = -330
- M_tot (μB/f.u.) = 0.0
- VASP energy (eV per cell) = -13.6
- excess energy over the best structure of this formula in the dataset (kJ per mole of atoms) = 4.09

Cell: 5.192 4.974 4.974 Å, 90.00 90.00 90.00°
Fractional positions:
Tl 0.500 0.000 0.000
Ba 0.500 0.500 0.500
Sn 0.000 0.000 0.500
Sn 0.000 0.500 0.000

=====

Entry 2:
This record from Alexandria via LeMat-Bulk describes a relaxed structure of Ba5Tl4Sn. The functional is GGA-PBE.

## Properties
- E_form (meV/atom) = -431
- M_tot (μB/f.u.) = 0.0
- VASP energy (eV per cell) = -27.4

Cell: 4.276 4.276 21.627 Å, 90.00 90.00 90.00°
Fractional positions:
Ba 0.500 0.500 0.096
Ba 0.500 0.500 0.300
Ba 0.500 0.500 0.500
Ba 0.500 0.500 0.700
Ba 0.500 0.500 0.904
Tl 0.000 0.000 0.203
Tl 0.000 0.000 0.398
Tl 0.000 0.000 0.602
Tl 0.000 0.000 0.797
Sn 0.000 0.000 0.000

=====

Among the records above, which one has the lowest E_form?
Ba5Tl4Sn

=====

E_form of number 2 (Ba5Tl4Sn)?
-431 meV/atom

=====

Copy entry 2 word for word.
This record from Alexandria via LeMat-Bulk describes a relaxed structure of Ba5Tl4Sn. The functional is GGA-PBE.

## Properties
- E_form (meV/atom) = -431
- M_tot (μB/f.u.) = 0.0
- VASP energy (eV per cell) = -27.4

Cell: 4.276 4.276 21.627 Å, 90.00 90.00 90.00°
Fractional positions:
Ba 0.500 0.500 0.096
Ba 0.500 0.500 0.300
Ba 0.500 0.500 0.500
Ba 0.500 0.500 0.700
Ba 0.500 0.500 0.904
Tl 0.000 0.000 0.203
Tl 0.000 0.000 0.398
Tl 0.000 0.000 0.602
Tl 0.000 0.000 0.797
Sn 0.000 0.000 0.000